Crystalline Pr3Ni9SnGe2 at its relaxed geometry. Source: the Alexandria database, functional PBE.

extended XYZ file:
```
15
Lattice="6.036 0.000 0.000 -3.018 5.227 0.000 0.000 0.000 8.982" Properties=species:S:1:pos:R:3 pbc="T T T"
Pr 0.000 3.485 6.268
Pr 0.000 0.000 0.000
Pr 3.018 1.742 2.714
Ni 4.808 0.709 6.555
Ni 3.018 3.809 6.555
Ni 1.228 0.709 6.555
Ni 1.790 4.518 2.427
Ni 0.000 1.418 2.427
Ni -1.790 4.518 2.427
Ni 3.018 0.000 0.000
Ni -1.509 2.614 0.000
Ni 1.509 2.614 0.000
Sn 0.000 0.000 4.491
Ge 0.000 3.485 1.574
Ge 3.018 1.742 7.408
```

Summary:
Calculated formation energy = -167 meV per atom
Calculated density = 7.119 g/cm3
Magnetization = 0.00 μB per formula unit

***

Crystalline Dy5Ga2H at its relaxed geometry. Source: the Alexandria database, functional PBE.

extended XYZ file:
```
8
Lattice="6.800 0.002 0.000 0.002 6.799 0.000 -3.401 -3.401 4.256" Properties=species:S:1:pos:R:3 pbc="T T T"
Dy 5.090 1.711 0.000
Dy 1.710 1.710 0.001
Dy 5.092 5.092 0.000
Dy 1.711 5.090 0.000
Dy 3.401 3.401 2.177
Ga 0.002 3.399 2.153
Ga 3.399 0.002 2.153
H 0.000 0.000 0.129
```

Summary:
Calculated density = 8.042 g/cm3
VASP energy = -33.99 eV for the cell shown
Magnetization = 0.00 μB per formula unit

***

Crystalline Sr4AcTi3O12 at its relaxed geometry. Source: the Alexandria database, functional PBE.

extended XYZ file:
```
20
Lattice="-0.541 -6.537 2.936 6.712 2.438 0.803 -4.580 4.477 3.259" Properties=species:S:1:pos:R:3 pbc="T T T"
Sr 0.795 0.189 3.499
Sr -2.290 2.238 1.630
Sr -0.271 -3.268 1.468
Sr 3.356 1.219 0.401
Ac 0.000 0.000 0.000
Ti -2.561 -1.030 3.097
Ti 3.085 -2.049 1.869
Ti 1.066 3.457 2.031
O -0.214 2.942 3.580
O -3.710 -1.492 4.488
O -1.411 -0.568 1.707
O 1.805 -2.564 3.418
O 4.470 -2.969 2.708
O 1.700 -1.129 1.030
O -1.018 -2.055 4.032
O 2.609 2.432 2.965
O -2.028 0.699 4.113
O 1.545 5.009 2.943
O 3.618 -0.321 2.885
O 0.587 1.905 1.119
```

Summary:
Calculated density = 5.308 g/cm3
VASP energy = -150.63 eV for the cell shown
Magnetization = 0.00 μB per formula unit

***

Crystalline LiTlInBi at its relaxed geometry. Source: the Alexandria database, functional PBE.

extended XYZ file:
```
4
Lattice="5.388 0.000 0.000 2.694 4.666 0.000 2.694 1.555 4.400" Properties=species:S:1:pos:R:3 pbc="T T T"
Tl 0.000 0.000 0.000
Li 2.694 1.555 1.100
Bi 5.388 3.111 2.200
In 8.082 4.666 3.300
```

Summary:
Calculated formation energy = -143 meV per atom
Calculated density = 8.033 g/cm3
Magnetization = 0.00 μB per formula unit

***

Crystalline YSeBr2 at its relaxed geometry. Source: the Alexandria database, functional PBE.

extended XYZ file:
```
8
Lattice="10.189 0.000 0.000 0.000 10.189 0.000 5.094 5.094 2.799" Properties=species:S:1:pos:R:3 pbc="T T T"
Y 0.000 0.000 0.000
Y 10.189 5.094 1.400
Se 5.094 5.094 0.000
Se 5.094 10.189 1.400
Br 9.119 2.547 0.700
Br 11.259 7.642 0.700
Br 7.642 6.164 2.100
Br 12.736 4.024 2.100
```

Summary:
Excess energy over the best structure of this formula in the dataset = 133 meV per atom
Calculated density = 3.745 g/cm3
Magnetization = 1.00 μB per formula unit

***

Crystalline SeBr3 at its relaxed geometry. Source: the Alexandria database, functional PBE.

extended XYZ file:
```
8
Lattice="5.830 0.000 0.000 0.000 5.830 0.000 0.000 0.000 5.830" Properties=species:S:1:pos:R:3 pbc="T T T"
Se 0.000 0.000 0.000
Se 2.915 2.915 2.915
Br 4.373 2.915 0.000
Br 1.458 2.915 0.000
Br 0.000 4.373 2.915
Br 0.000 1.458 2.915
Br 2.915 0.000 1.458
Br 2.915 0.000 4.373
```

Summary:
Calculated density = 5.340 g/cm3
VASP energy = -11.77 eV for the cell shown
Magnetization = 0.00 μB per formula unit

***

Crystalline KPa6S12 at its relaxed geometry. Source: the Alexandria database, functional PBE.

extended XYZ file:
```
19
Lattice="8.179 -0.091 -0.128 -2.115 7.901 -0.128 -2.115 -2.725 7.418" Properties=species:S:1:pos:R:3 pbc="T T T"
K 0.000 0.000 0.000
Pa 4.305 1.252 1.764
Pa 0.146 0.188 4.812
Pa 0.146 4.481 1.764
Pa 3.803 4.898 2.350
Pa -0.357 3.834 5.399
Pa 3.803 0.605 5.399
S 5.789 -0.419 3.581
S 4.345 2.838 3.997
S 1.673 2.154 5.956
S 2.276 0.173 3.165
S 2.276 2.932 1.207
S -0.397 2.248 3.165
S -1.841 1.567 6.377
S 1.974 6.481 0.785
S -1.841 5.505 3.581
S 5.789 3.519 0.785
S 1.974 -1.395 6.377
S 1.673 4.913 3.997
```

Summary:
Calculated density = 6.365 g/cm3
VASP energy = -135.35 eV for the cell shown
Magnetization = 7.02 μB per formula unit

***

Crystalline AcB2Ru2 at its relaxed geometry. Source: the Alexandria database, functional PBE.

extended XYZ file:
```
5
Lattice="-2.571 2.784 -1.525 -2.884 -1.230 2.618 4.394 2.651 2.899" Properties=species:S:1:pos:R:3 pbc="T T T"
Ac 0.000 0.000 0.000
B 1.026 2.110 2.121
B -2.087 2.095 1.870
Ru -0.452 3.106 0.960
Ru -0.609 1.099 3.031
```

Summary:
Calculated formation energy = -422 meV per atom
Excess energy over the best structure of this formula in the dataset = 39 meV per atom
Calculated density = 8.732 g/cm3
Magnetization = 0.00 μB per formula unit

***

calculated density of number 8 (AcB2Ru2)?
8.732 g/cm3

***

Please write out number 8 again, unchanged.
Crystalline AcB2Ru2 at its relaxed geometry. Source: the Alexandria database, functional PBE.

extended XYZ file:
```
5
Lattice="-2.571 2.784 -1.525 -2.884 -1.230 2.618 4.394 2.651 2.899" Properties=species:S:1:pos:R:3 pbc="T T T"
Ac 0.000 0.000 0.000
B 1.026 2.110 2.121
B -2.087 2.095 1.870
Ru -0.452 3.106 0.960
Ru -0.609 1.099 3.031
```

Summary:
Calculated formation energy = -422 meV per atom
Excess energy over the best structure of this formula in the dataset = 39 meV per atom
Calculated density = 8.732 g/cm3
Magnetization = 0.00 μB per formula unit